[1]
Computed, not measured: a relaxed structure of Pu2NiRu at the PBE-GGA level of DFT.

Values from the calculation:
Formation enthalpy at 0 K: 126 meV/atom
Spin magnetization: 0.00 μB per formula unit
Calculated volume: 66.5 Å³/f.u.

a = 5.524 Å, b = 5.556 Å, c = 5.736 Å
α = 116.75°, β = 116.73°, γ = 93.07°
Space group P-1 (No. 2)
Asymmetric unit:
Pu: 0.188 0.315 0.000 [2 per cell]
Pu: 0.207 0.705 0.421 [2 per cell]
Ni: 0.339 0.844 0.009 [2 per cell]
Ru: 0.251 0.245 0.497 [2 per cell]

[2]
Computed, not measured: a relaxed structure of PuNi4Ru at the PBE-GGA level of DFT.

Values from the calculation:
Formation enthalpy at 0 K: -63 meV/atom
Spin magnetization: 1.79 μB per formula unit
Calculated volume: 81.4 Å³/f.u.

a = 6.881 Å, b = 6.881 Å, c = 6.881 Å
α = 90.00°, β = 90.00°, γ = 90.00°
Space group F-43m (No. 216)
Asymmetric unit:
Pu: 0.000 0.000 0.000 [4 per cell]
Ni: 0.124 0.124 0.624 [16 per cell]
Ru: 0.250 0.250 0.250 [4 per cell]

[3]
Computed, not measured: a relaxed structure of Pu6NiRu5 at the PBE-GGA level of DFT.

Values from the calculation:
Formation enthalpy at 0 K: -128 meV/atom
Spin magnetization: 27.14 μB per formula unit
Calculated volume: 231.2 Å³/f.u.

a = 4.801 Å, b = 14.362 Å, c = 6.708 Å
α = 90.00°, β = 90.00°, γ = 90.00°
Space group Cmmm (No. 65)
Asymmetric unit:
Pu: 0.000 0.000 0.246 [4 per cell]
Pu: 0.000 0.335 0.248 [8 per cell]
Ni: 0.000 0.500 0.000 [2 per cell]
Ru: 0.000 0.167 0.500 [4 per cell]
Ru: 0.000 0.168 0.000 [4 per cell]
Ru: 0.000 0.500 0.500 [2 per cell]

[4]
Computed, not measured: a relaxed structure of Pu2NiRu3 at the PBE-GGA level of DFT.

Values from the calculation:
Formation enthalpy at 0 K: -173 meV/atom
Spin magnetization: 8.38 μB per formula unit
Calculated volume: 102.2 Å³/f.u.

a = 5.3212 Å, b = 5.3212 Å, c = 12.5030 Å
α = 90.00°, β = 90.00°, γ = 120.00°
Space group R-3m (No. 166, hexagonal axes)
Asymmetric unit:
Pu: 0.0000 0.0000 0.1241 [6 per cell]
Ni: 0.0000 0.0000 0.5000 [3 per cell]
Ru: 0.0000 0.5000 0.0000 [9 per cell]

[5]
Computed, not measured: a relaxed structure of Pu5NiRu6 at the PBE-GGA level of DFT.

Values from the calculation:
Formation enthalpy at 0 K: -90 meV/atom
Spin magnetization: 19.70 μB per formula unit
Calculated volume: 218.4 Å³/f.u.

a = 4.511 Å, b = 6.974 Å, c = 13.886 Å
α = 90.00°, β = 90.00°, γ = 90.00°
Space group Immm (No. 71)
Asymmetric unit:
Pu: 0.000 0.000 0.000 [2 per cell]
Pu: 0.000 0.000 0.361 [4 per cell]
Pu: 0.000 0.500 0.318 [4 per cell]
Ni: 0.000 0.500 0.000 [2 per cell]
Ru: 0.000 0.250 0.161 [8 per cell]
Ru: 0.000 0.279 0.500 [4 per cell]

[6]
Computed, not measured: a relaxed structure of PuScNiRu at the PBE-GGA level of DFT.

Values from the calculation:
Formation enthalpy at 0 K: -283 meV/atom
Spin magnetization: 4.51 μB per formula unit
Calculated volume: 70.8 Å³/f.u.

a = 6.567 Å, b = 6.567 Å, c = 6.567 Å
α = 90.00°, β = 90.00°, γ = 90.00°
Space group F-43m (No. 216)
Asymmetric unit:
Pu: 0.000 0.000 0.000 [4 per cell]
Sc: 0.000 0.000 0.500 [4 per cell]
Ni: 0.250 0.250 0.750 [4 per cell]
Ru: 0.250 0.250 0.250 [4 per cell]

[7]
Computed, not measured: a relaxed structure of PuNiSnRu at the PBE-GGA level of DFT.

Values from the calculation:
Formation enthalpy at 0 K: -169 meV/atom
Spin magnetization: 4.53 μB per formula unit
Calculated volume: 71.7 Å³/f.u.

a = 6.594 Å, b = 6.594 Å, c = 6.594 Å
α = 90.00°, β = 90.00°, γ = 90.00°
Space group F-43m (No. 216)
Asymmetric unit:
Pu: 0.000 0.000 0.000 [4 per cell]
Ni: 0.250 0.250 0.750 [4 per cell]
Sn: 0.000 0.000 0.500 [4 per cell]
Ru: 0.250 0.250 0.250 [4 per cell]

[8]
Computed, not measured: a relaxed structure of TbPuNiRu at the PBE-GGA level of DFT.

Values from the calculation:
Formation enthalpy at 0 K: -192 meV/atom
Spin magnetization: 4.47 μB per formula unit
Calculated volume: 77.8 Å³/f.u.

a = 6.775 Å, b = 6.775 Å, c = 6.775 Å
α = 90.00°, β = 90.00°, γ = 90.00°
Space group F-43m (No. 216)
Asymmetric unit:
Tb: 0.000 0.000 0.000 [4 per cell]
Pu: 0.000 0.000 0.500 [4 per cell]
Ni: 0.250 0.250 0.250 [4 per cell]
Ru: 0.250 0.250 0.750 [4 per cell]

[9]
Computed, not measured: a relaxed structure of PuThNiRu at the PBE-GGA level of DFT.

Values from the calculation:
Formation enthalpy at 0 K: -205 meV/atom
Spin magnetization: 5.33 μB per formula unit
Calculated volume: 82.4 Å³/f.u.

a = 6.907 Å, b = 6.907 Å, c = 6.907 Å
α = 90.00°, β = 90.00°, γ = 90.00°
Space group F-43m (No. 216)
Asymmetric unit:
Pu: 0.000 0.000 0.000 [4 per cell]
Th: 0.000 0.000 0.500 [4 per cell]
Ni: 0.250 0.250 0.750 [4 per cell]
Ru: 0.250 0.250 0.250 [4 per cell]

[10]
Computed, not measured: a relaxed structure of TmPuNiRu at the PBE-GGA level of DFT.

Values from the calculation:
Formation enthalpy at 0 K: -249 meV/atom
Spin magnetization: 4.48 μB per formula unit
Calculated volume: 75.7 Å³/f.u.

a = 6.715 Å, b = 6.715 Å, c = 6.715 Å
α = 90.00°, β = 90.00°, γ = 90.00°
Space group F-43m (No. 216)
Asymmetric unit:
Tm: 0.000 0.000 0.000 [4 per cell]
Pu: 0.000 0.000 0.500 [4 per cell]
Ni: 0.250 0.250 0.750 [4 per cell]
Ru: 0.250 0.250 0.250 [4 per cell]

[11]
Computed, not measured: a relaxed structure of PuUNiRu at the PBE-GGA level of DFT.

Values from the calculation:
Formation enthalpy at 0 K: -308 meV/atom
Spin magnetization: 4.12 μB per formula unit
Calculated volume: 65.2 Å³/f.u.

a = 6.390 Å, b = 6.390 Å, c = 6.390 Å
α = 90.00°, β = 90.00°, γ = 90.00°
Space group F-43m (No. 216)
Asymmetric unit:
Pu: 0.000 0.000 0.000 [4 per cell]
U: 0.250 0.250 0.750 [4 per cell]
Ni: 0.250 0.250 0.250 [4 per cell]
Ru: 0.000 0.000 0.500 [4 per cell]

[12]
Computed, not measured: a relaxed structure of PuVNiRu at the PBE-GGA level of DFT.

Values from the calculation:
Formation enthalpy at 0 K: 65 meV/atom
Spin magnetization: 4.02 μB per formula unit
Calculated volume: 60.5 Å³/f.u.

a = 6.230 Å, b = 6.230 Å, c = 6.230 Å
α = 90.00°, β = 90.00°, γ = 90.00°
Space group F-43m (No. 216)
Asymmetric unit:
Pu: 0.000 0.000 0.000 [4 per cell]
V: 0.250 0.250 0.250 [4 per cell]
Ni: 0.250 0.250 0.750 [4 per cell]
Ru: 0.000 0.000 0.500 [4 per cell]

Copy entry 12 word for word.
Computed, not measured: a relaxed structure of PuVNiRu at the PBE-GGA level of DFT.

Values from the calculation:
Formation enthalpy at 0 K: 65 meV/atom
Spin magnetization: 4.02 μB per formula unit
Calculated volume: 60.5 Å³/f.u.

a = 6.230 Å, b = 6.230 Å, c = 6.230 Å
α = 90.00°, β = 90.00°, γ = 90.00°
Space group F-43m (No. 216)
Asymmetric unit:
Pu: 0.000 0.000 0.000 [4 per cell]
V: 0.250 0.250 0.250 [4 per cell]
Ni: 0.250 0.250 0.750 [4 per cell]
Ru: 0.000 0.000 0.500 [4 per cell]

> Look up the formation enthalpy at 0 K of the eleventh one.

-308 meV/atom

> Which of these has the lowest formation enthalpy at 0 K?

PuUNiRu